(1)
The following is a DFT calculation (PBE) of a relaxed structure of KAcEuSn.

CIF file:
```
data_KAcEuSn
_chemical_formula_sum 'K4 Ac4 Eu4 Sn4'
_space_group_name_H-M_alt 'F -4 3 m'
_space_group_IT_number 216
_space_group_name_Hall 'F -4 2 3'
_cell_length_a 8.340
_cell_length_b 8.340
_cell_length_c 8.340
_cell_angle_alpha 90.00
_cell_angle_beta 90.00
_cell_angle_gamma 90.00
loop_
_atom_site_label
_atom_site_fract_x
_atom_site_fract_y
_atom_site_fract_z
K1 0.000 0.000 0.000
Ac1 0.250 0.250 0.750
Eu1 0.250 0.250 0.250
Sn1 0.000 0.000 0.500
```

M_tot = 8.34 μB per formula unit
DFT total energy = -19.928 eV per formula unit
Formation energy from the elements = -111 meV/atom



(2)
The following is a DFT calculation (PBE) of a relaxed structure of Ca2SmZn2In2.

CIF file:
```
data_Ca2SmZn2In2
_chemical_formula_sum 'Ca6 Sm3 Zn6 In6'
_space_group_name_H-M_alt 'R -3 m'
_space_group_IT_number 166
_space_group_name_Hall '-R 3 2"'
_cell_length_a 4.7516
_cell_length_b 4.7516
_cell_length_c 29.0894
_cell_angle_alpha 90.00
_cell_angle_beta 90.00
_cell_angle_gamma 120.00
loop_
_atom_site_label
_atom_site_fract_x
_atom_site_fract_y
_atom_site_fract_z
Ca1 0.0000 0.0000 0.1248
Sm1 0.0000 0.0000 0.0000
Zn1 0.0000 0.0000 0.3895
In1 0.0000 0.0000 0.2655
```

M_tot = 0.00 μB per formula unit
DFT total energy = -19.138 eV per formula unit
Formation energy from the elements = -342 meV/atom



Copy entry 2 word for word.
The following is a DFT calculation (PBE) of a relaxed structure of Ca2SmZn2In2.

CIF file:
```
data_Ca2SmZn2In2
_chemical_formula_sum 'Ca6 Sm3 Zn6 In6'
_space_group_name_H-M_alt 'R -3 m'
_space_group_IT_number 166
_space_group_name_Hall '-R 3 2"'
_cell_length_a 4.7516
_cell_length_b 4.7516
_cell_length_c 29.0894
_cell_angle_alpha 90.00
_cell_angle_beta 90.00
_cell_angle_gamma 120.00
loop_
_atom_site_label
_atom_site_fract_x
_atom_site_fract_y
_atom_site_fract_z
Ca1 0.0000 0.0000 0.1248
Sm1 0.0000 0.0000 0.0000
Zn1 0.0000 0.0000 0.3895
In1 0.0000 0.0000 0.2655
```

M_tot = 0.00 μB per formula unit
DFT total energy = -19.138 eV per formula unit
Formation energy from the elements = -342 meV/atom



Number 2 is which compound?
Ca2SmZn2In2



Number 1 is which compound?
KAcEuSn



Which formula does entry 1 have?
KAcEuSn